Entry 1
{"formula": "AlPOF2", "functional": "GGA-PBE", "state": "relaxed", "rho_g_cm3": 2.64, "space_group": "P4/mmm, No. 123", "magnetic_moment_mub_per_fu": 0.0, "lattice": [[4.468, 0.000, 0.000], [0.000, 4.468, 0.000], [0.000, 0.000, 3.527]], "species": ["Al", "P", "O", "F", "F"], "fractional_positions": [[0.000, 0.000, 0.000], [0.500, 0.500, 0.500], [0.500, 0.500, 0.000], [0.000, 0.500, 0.500], [0.500, 0.000, 0.500]]}

=====

Entry 2
{"formula": "AlPOF2", "functional": "GGA-PBE", "state": "relaxed", "rho_g_cm3": 3.35, "space_group": "P4/mmm, No. 123", "magnetic_moment_mub_per_fu": 1.5, "lattice": [[3.727, 0.000, 0.000], [0.000, 3.727, 0.000], [0.000, 0.000, 3.990]], "species": ["Al", "P", "O", "F", "F"], "fractional_positions": [[0.000, 0.000, 0.000], [0.500, 0.500, 0.500], [0.000, 0.000, 0.500], [0.000, 0.500, 0.000], [0.500, 0.000, 0.000]]}

=====

Relative energies in kJ/mol of atoms: entry 1 51.4; entry 2 0.0

=====

Entry 1
{"formula": "AlRuOF2", "functional": "GGA-PBE", "state": "relaxed", "rho_g_cm3": 5.38, "space_group": "P4/mmm, No. 123", "magnetic_moment_mub_per_fu": 3.1, "lattice": [[3.947, 0.000, 0.000], [0.000, 3.947, 0.000], [0.000, 0.000, 3.603]], "species": ["Al", "Ru", "O", "F", "F"], "fractional_positions": [[0.000, 0.000, 0.000], [0.500, 0.500, 0.500], [0.000, 0.000, 0.500], [0.000, 0.500, 0.000], [0.500, 0.000, 0.000]]}

=====

Entry 2
{"formula": "AlRuOF2", "functional": "GGA-PBE", "state": "relaxed", "rho_g_cm3": 4.15, "space_group": "P4/mmm, No. 123", "magnetic_moment_mub_per_fu": 0.6, "lattice": [[4.417, 0.000, 0.000], [0.000, 4.417, 0.000], [0.000, 0.000, 3.736]], "species": ["Al", "Ru", "O", "F", "F"], "fractional_positions": [[0.000, 0.000, 0.000], [0.500, 0.500, 0.500], [0.500, 0.500, 0.000], [0.000, 0.500, 0.500], [0.500, 0.000, 0.500]]}

=====

Relative energies in kJ/mol of atoms: entry 1 0.0; entry 2 48.9

=====

Entry 1
{"formula": "AlSOF2", "functional": "GGA-PBE", "state": "relaxed", "rho_g_cm3": 2.56, "space_group": "P4/mmm, No. 123", "magnetic_moment_mub_per_fu": 0.0, "lattice": [[4.615, 0.000, 0.000], [0.000, 4.615, 0.000], [0.000, 0.000, 3.448]], "species": ["Al", "S", "O", "F", "F"], "fractional_positions": [[0.000, 0.000, 0.000], [0.500, 0.500, 0.500], [0.500, 0.500, 0.000], [0.000, 0.500, 0.500], [0.500, 0.000, 0.500]]}

=====

Entry 2
{"formula": "AlSOF2", "functional": "GGA-PBE", "state": "relaxed", "rho_g_cm3": 3.40, "space_group": "P4/mmm, No. 123", "magnetic_moment_mub_per_fu": 0.0, "lattice": [[3.569, 0.000, 0.000], [0.000, 3.569, 0.000], [0.000, 0.000, 4.339]], "species": ["Al", "S", "O", "F", "F"], "fractional_positions": [[0.000, 0.000, 0.000], [0.500, 0.500, 0.500], [0.000, 0.000, 0.500], [0.000, 0.500, 0.000], [0.500, 0.000, 0.000]]}

=====

Relative energies in kJ/mol of atoms: entry 1 96.5; entry 2 0.0